# 1
KPdCl | PBE-GGA | optimized geometry

abc: 14.500 6.174 6.174
angles: 144.83 146.09 33.91
Positions (direct):
K (0.294, 0.109, 0.891)
K (0.706, 0.891, 0.109)
Pd (0.887, 0.408, 0.592)
Pd (0.113, 0.592, 0.408)
Cl (0.674, 0.201, 0.799)
Cl (0.326, 0.799, 0.201)

## Properties
SG: C2/m, No. 12
Formation energy (no corrections) in eV per atom: -0.806
Size of the total moment in μB/atom: 0.0000

# 2
GaCu2Cl6 | PBE-GGA | optimized geometry

abc: 6.523 9.499 9.499
angles: 86.38 70.61 70.61
Last column: magnetic moment on the atom in μB.
Positions (direct):
Cl (0.743, 0.645, 0.819)  0.09
Cl (0.136, 0.237, 0.567)  0.02
Cl (0.864, 0.763, 0.433)  0.02
Cl (0.243, 0.819, 0.645)  0.09
Cl (0.257, 0.355, 0.181)  0.09
Cl (0.364, 0.433, 0.763)  0.02
Cl (0.948, 0.239, 0.958)  0.02
Cl (0.636, 0.567, 0.237)  0.02
Cl (0.448, 0.958, 0.239)  0.02
Cl (0.757, 0.181, 0.355)  0.09
Cl (0.552, 0.042, 0.761)  0.02
Cl (0.052, 0.761, 0.042)  0.02
Cu (0.573, 0.799, 0.675)  0.36
Cu (0.427, 0.201, 0.325)  0.36
Cu (0.927, 0.325, 0.201)  0.36
Cu (0.073, 0.675, 0.799)  0.36
Ga (0.750, 0.762, 0.238)  0.00
Ga (0.250, 0.238, 0.762)  0.00

## Properties
SG: C2/c, No. 15
Formation energy (no corrections) in eV per atom: -0.774
Size of the total moment in μB/atom: 0.1197

# 3
Rb2SrTlBr5 | PBE-GGA | optimized geometry

abc: 5.826 5.826 12.341
angles: 90.00 90.00 90.00
Positions (direct):
Rb (0.500, 0.500, 0.277)
Rb (0.500, 0.500, 0.723)
Tl (0.000, 0.000, 0.000)
Sr (0.000, 0.000, 0.500)
Br (0.500, 0.500, 0.000)
Br (0.500, 0.000, 0.500)
Br (0.000, 0.000, 0.254)
Br (0.000, 0.500, 0.500)
Br (0.000, 0.000, 0.746)

## Properties
SG: P4/mmm, No. 123
Formation energy (no corrections) in eV per atom: -1.601
Size of the total moment in μB/atom: 0.0000

# 4
Y2ZrAl | PBE-GGA | optimized geometry

abc: 4.467 3.421 7.455
angles: 62.71 90.00 90.00
Positions (direct):
Y (0.000, 0.493, 0.506)
Y (0.000, 0.007, 0.994)
Al (0.500, 0.750, 0.750)
Zr (0.500, 0.250, 0.250)

## Properties
Energy relative to the elements in eV per atom: -0.09
SG: Pmmm, No. 47
Size of the total moment in μB/atom: 0.0000

Table of raw total energy (eV per atom), in record order: -3.5184 -3.2512 -3.1952 -6.3961
Table of Fermi-level density of states (states/eV/f.u.), in record order: 0.00 6.18 0.00 4.83